1.
Entry from Alexandria: a relaxed structure of K2Ga3Au2 (GGA-PBE).

abc: 4.456 6.633 7.894
angles: 121.91 90.00 109.63
Element x y z (fractional)
K 0.140 0.279 0.764
Ga 0.500 0.000 0.000
Au 0.879 0.759 0.790
Ga 0.653 0.307 0.429
Au 0.121 0.241 0.210
K 0.860 0.721 0.236
Ga 0.347 0.693 0.571

Computed properties:
Crystal system: monoclinic
SG: C2/m, No. 12
DOS at the Fermi energy, states/eV/cell: 2.29
Formation energy, eV/atom: -0.274

2.
Entry from Alexandria: a relaxed structure of KGa4Au2 (GGA-PBE).

abc: 4.441 4.686 7.789
angles: 107.51 90.00 90.00
Element x y z (fractional)
Ga 0.500 0.819 0.638
K 0.000 0.000 0.000
Ga 0.500 0.181 0.362
Au 0.500 0.406 0.811
Ga 0.000 0.698 0.395
Au 0.500 0.594 0.189
Ga 0.000 0.302 0.605

Computed properties:
Crystal system: orthorhombic
SG: Cmmm, No. 65
DOS at the Fermi energy, states/eV/cell: 2.16
ΔE to the lowest computed polymorph, meV/atom: 63
Formation energy, eV/atom: -0.193

3.
Entry from Alexandria: a relaxed structure of K2Ga2Au (GGA-PBE).

abc: 4.602 4.602 18.265
angles: 97.24 97.24 90.00
Element x y z (fractional)
Ga 0.281 0.281 0.561
Au 0.250 0.750 0.500
K 0.573 0.073 0.146
Ga 0.031 0.531 0.061
K 0.927 0.427 0.854
Ga 0.719 0.719 0.439
K 0.177 0.177 0.354
Ga 0.469 0.969 0.939
Au 0.500 0.500 0.000
K 0.823 0.823 0.646

Computed properties:
Crystal system: tetragonal
SG: I4_1/amd, No. 141
DOS at the Fermi energy, states/eV/cell: 4.71
ΔE to the lowest computed polymorph, meV/atom: 109
Formation energy, eV/atom: -0.073

4.
Entry from Alexandria: a relaxed structure of K2Ga6Au3 (GGA-PBE).

abc: 4.527 7.995 7.995
angles: 120.00 90.00 90.00
Element x y z (fractional)
K 0.000 0.667 0.333
Ga 0.000 0.810 0.000
Ga 0.000 0.190 0.190
Ga 0.500 0.695 0.695
Ga 0.500 0.000 0.305
Au 0.500 0.363 0.363
Ga 0.000 0.000 0.810
Ga 0.500 0.305 0.000
K 0.000 0.333 0.667
Au 0.500 0.000 0.637
Au 0.500 0.637 0.000

Computed properties:
Crystal system: hexagonal
SG: P-62m, No. 189
DOS at the Fermi energy, states/eV/cell: 1.16
Formation energy, eV/atom: -0.243